Here is an optimized crystal structure of Ti2Nb2Cd from the Alexandria database. Energies are from PBE.

The calculation puts the total energy at -71.983 eV/cell. The value obtained for the energy above the most stable polymorph in this dataset is 128 meV per atom. The calculation puts the energy of formation from the pure elements at 171 meV/atom.

The structure belongs to space group P4/mbm (No. 127); the cell edges are 7.256, 7.256 and 3.511 Å and the angles 90.00°, 90.00° and 90.00°. Symmetry generates all atoms from Ti at (0.130, 0.370, 0.000), Nb at (0.167, 0.667, 0.500) and Cd at (0.000, 0.000, 0.000).